[1]
Below is a relaxed TbPmSm6Dy2 crystal, with properties calculated at the GGA-PBE level.

For the energy, the calculation gives -4.57 eV/atom. The energy of formation is 0.119 eV/atom. The volume comes out at 1344 Å³/cell. As for the magnetization: 0.00 μB per cell.

It has space group C2/c (No. 15), with a = 9.188 Å, b = 15.221 Å, c = 9.705 Å, α = 90.00°, β = 98.05° and γ = 90.00°. The inequivalent atoms are Tb at (0.000, 0.026, 0.250), Pm at (0.000, 0.407, 0.750), Sm at (0.064, 0.181, 0.945), Sm at (0.100, 0.393, 0.121), Sm at (0.206, 0.225, 0.316) and Dy at (0.245, 0.050, 0.545).

[2]
Below is a relaxed TaCl5 crystal, with properties calculated at the GGA-PBE level.

For the energy, the calculation gives -4.75 eV/atom. The calculation puts the uncorrected formation energy at -1.235 eV per atom. The volume comes out at 406 Å³/cell. As for the magnetization: 0.00 μB per cell.

It has space group I4/m (No. 87), with a = 9.045 Å, b = 9.045 Å, c = 4.969 Å, α = 90.00°, β = 90.00° and γ = 90.00°. The inequivalent atoms are Ta at (0.000, 0.000, 0.000), Cl at (0.000, 0.000, 0.500) and Cl at (0.061, 0.250, 0.000).

[3]
Below is a relaxed LiLaPrPt crystal, with properties calculated at the GGA-PBE level.

For the energy, the calculation gives -4.92 eV/atom. The energy of formation is -0.505 eV/atom. The volume comes out at 402 Å³/cell. As for the magnetization: 0.01 μB per cell.

It has space group F-43m (No. 216), with a = 7.380 Å, b = 7.380 Å, c = 7.380 Å, α = 90.00°, β = 90.00° and γ = 90.00°. The inequivalent atoms are Li at (0.000, 0.000, 0.000), La at (0.250, 0.250, 0.250), Pr at (0.250, 0.250, 0.750) and Pt at (0.000, 0.000, 0.500).

[4]
Below is a relaxed AlCr2Fe2 crystal, with properties calculated at the GGA-PBE level.

For the energy, the calculation gives -8.00 eV/atom. The energy of formation is -0.012 eV/atom. The volume comes out at 119 Å³/cell. As for the magnetization: 8.14 μB per cell.

It has space group C2/m (No. 12), with a = 12.098 Å, b = 3.968 Å, c = 2.493 Å, α = 90.00°, β = 97.18° and γ = 90.00°. The inequivalent atoms are Al at (0.000, 0.000, 0.000), Cr at (0.204, 0.000, 0.816) and Fe at (0.102, 0.500, 0.436).

Q: Look up the energy of the fourth one.
A: -8.00 eV/atom

Q: The lowest energy belongs to which entry?
A: AlCr2Fe2

Q: Which of these has the highest magnetization?
A: AlCr2Fe2

Repeat the second record exactly.
Below is a relaxed TaCl5 crystal, with properties calculated at the GGA-PBE level.

For the energy, the calculation gives -4.75 eV/atom. The calculation puts the uncorrected formation energy at -1.235 eV per atom. The volume comes out at 406 Å³/cell. As for the magnetization: 0.00 μB per cell.

It has space group I4/m (No. 87), with a = 9.045 Å, b = 9.045 Å, c = 4.969 Å, α = 90.00°, β = 90.00° and γ = 90.00°. The inequivalent atoms are Ta at (0.000, 0.000, 0.000), Cl at (0.000, 0.000, 0.500) and Cl at (0.061, 0.250, 0.000).